[1]
Entry from the Alexandria database: an optimized crystal structure of AgP2Os (PBE).

Calculated formation energy (eV per atom): 0.21
Raw total energy (eV per atom): -6.019
Crystal system: orthorhombic

Unit cell a=2.874 b=3.621 c=6.772 alpha=90.00 beta=90.00 gamma=90.00
Fractional coordinates of all 4 atoms:
Ag (0.000, 0.000, 0.000)
P (0.000, 0.000, 0.372)
P (0.500, 0.500, 0.807)
Os (0.500, 0.500, 0.476)

[2]
Entry from the Alexandria database: an optimized crystal structure of AgP2Os (PBE).

Calculated formation energy (eV per atom): 0.40
Raw total energy (eV per atom): -5.826
Crystal system: tetragonal

Unit cell a=3.023 b=3.023 c=6.957 alpha=90.00 beta=90.00 gamma=90.00
Fractional coordinates of all 4 atoms:
Ag (0.000, 0.000, 0.000)
P (0.000, 0.000, 0.459)
P (0.500, 0.500, 0.655)
Os (0.500, 0.500, 0.298)

[3]
Entry from the Alexandria database: an optimized crystal structure of AgP2Os (PBE).

Calculated formation energy (eV per atom): 0.22
Raw total energy (eV per atom): -6.006
Crystal system: monoclinic

Unit cell a=3.956 b=3.956 c=5.972 alpha=94.60 beta=94.60 gamma=45.20
Fractional coordinates of all 4 atoms:
Ag (0.000, 0.000, 0.000)
P (0.218, 0.218, 0.692)
P (0.782, 0.782, 0.308)
Os (0.500, 0.500, 0.500)

[4]
Entry from the Alexandria database: an optimized crystal structure of AgP2Os (PBE).

Calculated formation energy (eV per atom): 0.14
Raw total energy (eV per atom): -6.090
Crystal system: tetragonal

Unit cell a=6.572 b=6.572 c=6.572 alpha=129.22 beta=129.22 gamma=74.65
Fractional coordinates of all 8 atoms:
Ag (0.000, 0.000, 0.000)
Ag (0.750, 0.250, 0.500)
P (0.170, 0.625, 0.045)
P (0.375, 0.420, 0.545)
P (0.580, 0.125, 0.955)
P (0.875, 0.830, 0.455)
Os (0.250, 0.750, 0.500)
Os (0.500, 0.500, 0.000)

[5]
Entry from the Alexandria database: an optimized crystal structure of AgPOs3 (PBE).

Calculated formation energy (eV per atom): 3.36
Raw total energy (eV per atom): -5.032
Crystal system: cubic

Unit cell a=4.804 b=4.804 c=4.804 alpha=90.00 beta=90.00 gamma=90.00
Fractional coordinates of all 5 atoms:
Ag (0.000, 0.000, 0.000)
P (0.500, 0.500, 0.500)
Os (0.000, 0.000, 0.500)
Os (0.000, 0.500, 0.000)
Os (0.500, 0.000, 0.000)

[6]
Entry from the Alexandria database: an optimized crystal structure of AgPOs (PBE).

Calculated formation energy (eV per atom): 0.18
Raw total energy (eV per atom): -6.319
Crystal system: trigonal

Unit cell a=2.932 b=2.932 c=6.545 alpha=90.00 beta=90.00 gamma=120.00
Fractional coordinates of all 3 atoms:
Ag (0.000, 0.000, 0.000)
P (0.667, 0.333, 0.613)
Os (0.333, 0.667, 0.372)

[7]
Entry from the Alexandria database: an optimized crystal structure of AgP3Os (PBE).

Calculated formation energy (eV per atom): 0.82
Raw total energy (eV per atom): -5.245
Crystal system: cubic

Unit cell a=4.635 b=4.635 c=4.635 alpha=90.00 beta=90.00 gamma=90.00
Fractional coordinates of all 5 atoms:
Ag (0.000, 0.000, 0.000)
P (0.000, 0.500, 0.500)
P (0.500, 0.000, 0.500)
P (0.500, 0.500, 0.000)
Os (0.500, 0.500, 0.500)

[8]
Entry from the Alexandria database: an optimized crystal structure of Ag4POs (PBE).

Calculated formation energy (eV per atom): 1.02
Raw total energy (eV per atom): -3.654
Crystal system: cubic

Unit cell a=5.347 b=5.347 c=5.347 alpha=60.00 beta=60.00 gamma=60.00
Fractional coordinates of all 6 atoms:
Ag (0.125, 0.125, 0.125)
Ag (0.125, 0.125, 0.625)
Ag (0.125, 0.625, 0.125)
Ag (0.625, 0.125, 0.125)
P (0.500, 0.500, 0.500)
Os (0.750, 0.750, 0.750)

[9]
Entry from the Alexandria database: an optimized crystal structure of AgP4Os (PBE).

Calculated formation energy (eV per atom): 1.02
Raw total energy (eV per atom): -4.933
Crystal system: cubic

Unit cell a=5.018 b=5.018 c=5.018 alpha=60.00 beta=60.00 gamma=60.00
Fractional coordinates of all 6 atoms:
Ag (0.000, 0.000, 0.000)
P (0.376, 0.376, 0.376)
P (0.376, 0.376, 0.873)
P (0.376, 0.873, 0.376)
P (0.873, 0.376, 0.376)
Os (0.750, 0.750, 0.750)

[10]
Entry from the Alexandria database: an optimized crystal structure of AgP2Os (PBE).

Calculated formation energy (eV per atom): 0.19
Raw total energy (eV per atom): -6.038
Crystal system: orthorhombic

Unit cell a=6.684 b=6.684 c=6.684 alpha=155.14 beta=148.41 gamma=40.61
Fractional coordinates of all 4 atoms:
Ag (0.000, 0.000, 0.000)
P (0.339, 0.839, 0.500)
P (0.624, 0.624, 0.000)
Os (0.774, 0.274, 0.500)

[11]
Entry from the Alexandria database: an optimized crystal structure of AgP2Os (PBE).

Calculated formation energy (eV per atom): 0.39
Raw total energy (eV per atom): -5.830
Crystal system: orthorhombic

Unit cell a=6.057 b=6.057 c=6.057 alpha=152.77 beta=133.05 gamma=55.12
Fractional coordinates of all 4 atoms:
Ag (0.000, 0.000, 0.000)
P (0.325, 0.825, 0.500)
P (0.675, 0.175, 0.500)
Os (0.500, 0.500, 0.000)

[12]
Entry from the Alexandria database: an optimized crystal structure of AgP2Os (PBE).

Calculated formation energy (eV per atom): 0.48
Raw total energy (eV per atom): -5.743
Crystal system: cubic

Unit cell a=4.349 b=4.349 c=4.349 alpha=60.00 beta=60.00 gamma=60.00
Fractional coordinates of all 4 atoms:
Ag (0.000, 0.000, 0.000)
P (0.250, 0.250, 0.250)
P (0.750, 0.750, 0.750)
Os (0.500, 0.500, 0.500)

[13]
Entry from the Alexandria database: an optimized crystal structure of AgP2Os (PBE).

Calculated formation energy (eV per atom): 0.14
Raw total energy (eV per atom): -6.084
Crystal system: trigonal

Unit cell a=8.101 b=8.101 c=8.101 alpha=21.32 beta=21.32 gamma=21.32
Fractional coordinates of all 4 atoms:
Ag (0.000, 0.000, 0.000)
P (0.240, 0.240, 0.240)
P (0.760, 0.760, 0.760)
Os (0.500, 0.500, 0.500)

[14]
Entry from the Alexandria database: an optimized crystal structure of AgP2Os (PBE).

Calculated formation energy (eV per atom): 0.21
Raw total energy (eV per atom): -6.011
Crystal system: tetragonal

Unit cell a=2.910 b=2.910 c=7.409 alpha=90.00 beta=90.00 gamma=90.00
Fractional coordinates of all 4 atoms:
Ag (0.000, 0.000, 0.000)
P (0.500, 0.500, 0.298)
P (0.500, 0.500, 0.702)
Os (0.000, 0.000, 0.500)

[15]
Entry from the Alexandria database: an optimized crystal structure of AgP2Os (PBE).

Calculated formation energy (eV per atom): 0.77
Raw total energy (eV per atom): -5.458
Crystal system: orthorhombic

Unit cell a=3.059 b=3.971 c=5.076 alpha=90.00 beta=90.00 gamma=90.00
Fractional coordinates of all 4 atoms:
Ag (0.000, 0.000, 0.000)
P (0.000, 0.500, 0.500)
P (0.500, 0.500, 0.000)
Os (0.500, 0.000, 0.500)

[16]
Entry from the Alexandria database: an optimized crystal structure of AgPOsPd2 (PBE).

Calculated formation energy (eV per atom): 0.90
Raw total energy (eV per atom): -5.074
Crystal system: tetragonal

Unit cell a=4.437 b=4.437 c=4.588 alpha=90.00 beta=90.00 gamma=90.00
Fractional coordinates of all 5 atoms:
Ag (0.000, 0.000, 0.000)
P (0.000, 0.000, 0.500)
Os (0.500, 0.500, 0.000)
Pd (0.000, 0.500, 0.500)
Pd (0.500, 0.000, 0.500)

[17]
Entry from the Alexandria database: an optimized crystal structure of ReAgPOs2 (PBE).

Calculated formation energy (eV per atom): 2.98
Raw total energy (eV per atom): -5.653
Crystal system: tetragonal

Unit cell a=4.783 b=4.783 c=4.243 alpha=90.00 beta=90.00 gamma=90.00
Fractional coordinates of all 5 atoms:
Re (0.000, 0.000, 0.000)
Ag (0.500, 0.500, 0.500)
P (0.500, 0.500, 0.000)
Os (0.000, 0.500, 0.500)
Os (0.500, 0.000, 0.500)

[18]
Entry from the Alexandria database: an optimized crystal structure of Re2AgPOs (PBE).

Calculated formation energy (eV per atom): 1.43
Raw total energy (eV per atom): -7.444
Crystal system: tetragonal

Unit cell a=4.382 b=4.382 c=4.479 alpha=90.00 beta=90.00 gamma=90.00
Fractional coordinates of all 5 atoms:
Re (0.000, 0.500, 0.000)
Re (0.500, 0.000, 0.000)
Ag (0.000, 0.000, 0.500)
P (0.000, 0.000, 0.000)
Os (0.500, 0.500, 0.500)

[19]
Entry from the Alexandria database: an optimized crystal structure of AgPOsS2 (PBE).

Raw total energy (eV per atom): -3.640
Formation energy without anion corrections (eV/atom): 1.909
Crystal system: tetragonal

Unit cell a=4.653 b=4.653 c=4.635 alpha=90.00 beta=90.00 gamma=90.00
Fractional coordinates of all 5 atoms:
Ag (0.000, 0.000, 0.000)
P (0.000, 0.000, 0.500)
Os (0.500, 0.500, 0.500)
S (0.000, 0.500, 0.000)
S (0.500, 0.000, 0.000)

[20]
Entry from the Alexandria database: an optimized crystal structure of AgPOsS2 (PBE).

Raw total energy (eV per atom): -4.843
Formation energy without anion corrections (eV/atom): 0.706
Crystal system: tetragonal

Unit cell a=4.791 b=4.791 c=4.472 alpha=90.00 beta=90.00 gamma=90.00
Fractional coordinates of all 5 atoms:
Ag (0.000, 0.000, 0.000)
P (0.500, 0.500, 0.000)
Os (0.500, 0.500, 0.500)
S (0.000, 0.500, 0.500)
S (0.500, 0.000, 0.500)

[21]
Entry from the Alexandria database: an optimized crystal structure of TbPaAgOs (PBE).

Calculated formation energy (eV per atom): -0.06
Raw total energy (eV per atom): -7.113
Crystal system: cubic

Unit cell a=4.980 b=4.980 c=4.980 alpha=60.00 beta=60.00 gamma=60.00
Fractional coordinates of all 4 atoms:
Tb (0.000, 0.000, 0.000)
Pa (0.500, 0.500, 0.500)
Ag (0.250, 0.250, 0.250)
Os (0.750, 0.750, 0.750)

[22]
Entry from the Alexandria database: an optimized crystal structure of TmPaAgOs (PBE).

Calculated formation energy (eV per atom): -0.11
Raw total energy (eV per atom): -7.123
Crystal system: cubic

Unit cell a=4.948 b=4.948 c=4.948 alpha=60.00 beta=60.00 gamma=60.00
Fractional coordinates of all 4 atoms:
Tm (0.000, 0.000, 0.000)
Pa (0.500, 0.500, 0.500)
Ag (0.750, 0.750, 0.750)
Os (0.250, 0.250, 0.250)

[23]
Entry from the Alexandria database: an optimized crystal structure of AgOs2Pb (PBE).

Calculated formation energy (eV per atom): 0.92
Raw total energy (eV per atom): -6.336
Crystal system: orthorhombic

Unit cell a=6.226 b=6.226 c=6.226 alpha=153.22 beta=135.07 gamma=53.08
Fractional coordinates of all 4 atoms:
Ag (0.000, 0.000, 0.000)
Os (0.280, 0.780, 0.500)
Os (0.463, 0.463, 0.000)
Pb (0.697, 0.197, 0.500)

[24]
Entry from the Alexandria database: an optimized crystal structure of AgOs2Pb (PBE).

Calculated formation energy (eV per atom): 1.02
Raw total energy (eV per atom): -6.232
Crystal system: tetragonal

Unit cell a=10.325 b=10.325 c=10.325 alpha=157.33 beta=157.33 gamma=32.27
Fractional coordinates of all 8 atoms:
Ag (0.000, 0.000, 0.000)
Ag (0.750, 0.250, 0.500)
Os (0.031, 0.625, 0.906)
Os (0.375, 0.281, 0.406)
Os (0.719, 0.125, 0.094)
Os (0.875, 0.969, 0.594)
Pb (0.250, 0.750, 0.500)
Pb (0.500, 0.500, 0.000)

[25]
Entry from the Alexandria database: an optimized crystal structure of AgOs2Pb (PBE).

Calculated formation energy (eV per atom): 1.03
Raw total energy (eV per atom): -6.229
Crystal system: monoclinic

Unit cell a=5.727 b=5.727 c=2.879 alpha=104.21 beta=104.21 gamma=120.69
Fractional coordinates of all 4 atoms:
Ag (0.000, 0.000, 0.000)
Os (0.000, 0.500, 0.500)
Os (0.500, 0.000, 0.500)
Pb (0.500, 0.500, 0.000)

[26]
Entry from the Alexandria database: an optimized crystal structure of AgOs2Pb (PBE).

Calculated formation energy (eV per atom): 1.14
Raw total energy (eV per atom): -6.115
Crystal system: tetragonal

Unit cell a=5.075 b=5.075 c=5.075 alpha=132.65 beta=132.65 gamma=69.21
Fractional coordinates of all 4 atoms:
Ag (0.000, 0.000, 0.000)
Os (0.250, 0.750, 0.500)
Os (0.750, 0.250, 0.500)
Pb (0.500, 0.500, 0.000)

[27]
Entry from the Alexandria database: an optimized crystal structure of AgOs2Pb (PBE).

Calculated formation energy (eV per atom): 1.15
Raw total energy (eV per atom): -6.107
Crystal system: trigonal

Unit cell a=9.173 b=9.173 c=9.173 alpha=18.80 beta=18.80 gamma=18.80
Fractional coordinates of all 4 atoms:
Ag (0.000, 0.000, 0.000)
Os (0.249, 0.249, 0.249)
Os (0.751, 0.751, 0.751)
Pb (0.500, 0.500, 0.500)

[28]
Entry from the Alexandria database: an optimized crystal structure of Ag2OsPb2 (PBE).

Calculated formation energy (eV per atom): 0.78
Raw total energy (eV per atom): -4.092
Crystal system: tetragonal

Unit cell a=7.365 b=7.365 c=4.103 alpha=90.00 beta=90.00 gamma=90.00
Fractional coordinates of all 10 atoms:
Ag (0.138, 0.362, 0.000)
Ag (0.362, 0.862, 0.000)
Ag (0.638, 0.138, 0.000)
Ag (0.862, 0.638, 0.000)
Os (0.000, 0.000, 0.500)
Os (0.500, 0.500, 0.500)
Pb (0.166, 0.666, 0.500)
Pb (0.334, 0.166, 0.500)
Pb (0.666, 0.834, 0.500)
Pb (0.834, 0.334, 0.500)

[29]
Entry from the Alexandria database: an optimized crystal structure of AgOs2Pb (PBE).

Calculated formation energy (eV per atom): 0.65
Raw total energy (eV per atom): -6.601
Crystal system: trigonal

Unit cell a=9.914 b=9.914 c=9.914 alpha=17.06 beta=17.06 gamma=17.06
Fractional coordinates of all 4 atoms:
Ag (0.000, 0.000, 0.000)
Os (0.252, 0.252, 0.252)
Os (0.519, 0.519, 0.519)
Pb (0.763, 0.763, 0.763)